Entry from Alexandria via LeMat-Bulk: a geometry-optimized MnSbO2 structure (PBE with a Hubbard U).

Summary:
* VASP energy: -6.594 eV per atom
* M_tot: 4.6 μB per cell
* symmetry: R-3m
* V: 14.7 Å³ per atom

Cell and atoms, written as extended XYZ:
```
4
Lattice="-1.459 4.575 4.700 1.688 5.049 4.100 -0.546 6.344 2.146" Properties=species:S:1:pos:R:3 pbc="T T T"
Sb 0.000 0.000 0.000
Mn -0.158 7.984 5.473
O -0.282 14.218 9.747
O -0.035 1.749 1.199
```